Te2MoCl4O | PBEsol | optimized geometry

Results
Raw formation energy in eV/f.u.: -6.48
Volume in Å³/atom: 28.153
Raw total energy in eV per cell: -154.32

```
32
Lattice="9.646 0.000 0.000 0.000 7.669 0.000 -9.475 0.000 12.178" Properties=species:S:1:pos:R:3 pbc="T T T"
Te -0.640 1.566 0.922
Te -5.377 2.269 7.011
Te -4.038 4.510 7.733
Te 0.699 6.994 1.644
Te -0.527 0.675 10.534
Te 4.210 3.159 4.445
Te 5.549 5.400 5.167
Te 0.812 6.103 11.256
Mo -1.381 1.206 5.404
Mo -6.118 2.629 11.493
Mo 6.290 5.040 0.686
Mo 1.553 6.463 6.775
Cl -2.672 0.413 3.653
Cl -7.410 3.421 9.742
Cl 2.000 3.892 0.802
Cl -2.738 7.612 6.891
Cl 0.270 1.848 3.849
Cl -4.467 1.986 9.938
Cl -4.883 5.114 11.178
Cl -0.146 6.389 5.089
Cl 0.318 1.280 7.090
Cl 5.055 2.555 1.001
Cl 4.639 5.683 2.240
Cl -0.098 5.821 8.329
Cl 2.909 0.057 5.287
Cl -1.828 3.777 11.376
Cl 7.581 4.248 2.436
Cl 2.844 7.256 8.525
O -6.815 1.156 11.781
O -2.077 2.678 5.692
O 2.249 4.991 6.486
O 6.986 6.513 0.397
```

=====

RuWCl2 | PBEsol | optimized geometry

Results
Raw formation energy in eV/f.u.: -0.70
Volume in Å³/atom: 18.642
Raw total energy in eV per cell: -28.69

```
4
Lattice="2.920 0.000 0.000 0.000 3.145 0.000 0.000 0.000 8.118" Properties=species:S:1:pos:R:3 pbc="T T T"
Ru 0.000 0.000 0.000
W 1.460 1.573 1.458
Cl 0.000 1.573 3.329
Cl 1.460 0.000 6.195
```

=====

Na3InRu | PBEsol | optimized geometry

Results
ΔE to the lowest computed polymorph in meV per atom: 0.0
Calculated formation energy in meV/atom: 1113
Volume in Å³/atom: 30.045
Raw total energy in eV per cell: -11.79

```
5
Lattice="5.316 0.000 0.000 0.000 5.316 0.000 0.000 0.000 5.316" Properties=species:S:1:pos:R:3 pbc="T T T"
Na 0.000 0.000 2.658
Na 0.000 2.658 0.000
Na 2.658 0.000 0.000
In 2.658 2.658 2.658
Ru 0.000 0.000 0.000
```

=====

Question: What is the formula in the first record?
Answer: Te2MoCl4O

=====

Question: Which of these has the lowest volume?
Answer: RuWCl2

=====

Please write out number 3 again, unchanged.
Na3InRu | PBEsol | optimized geometry

Results
ΔE to the lowest computed polymorph in meV per atom: 0.0
Calculated formation energy in meV/atom: 1113
Volume in Å³/atom: 30.045
Raw total energy in eV per cell: -11.79

```
5
Lattice="5.316 0.000 0.000 0.000 5.316 0.000 0.000 0.000 5.316" Properties=species:S:1:pos:R:3 pbc="T T T"
Na 0.000 0.000 2.658
Na 0.000 2.658 0.000
Na 2.658 0.000 0.000
In 2.658 2.658 2.658
Ru 0.000 0.000 0.000
```

=====

Question: Which formula does entry 1 have?
Answer: Te2MoCl4O